First-principles (meta-GGA SCAN) data for Pt5Pb at its PBEsol-relaxed geometry, as listed in the Alexandria database.

Lattice parameters (Å, degrees): 4.0809 12.0404 3.9476 90.00 90.00 90.00
Fractional coordinates of all 12 atoms:
Pt 0.0000 0.0000 0.0000
Pt 0.0000 0.1676 0.5000
Pt 0.0000 0.3284 0.0000
Pt 0.0000 0.6716 0.0000
Pt 0.0000 0.8324 0.5000
Pt 0.5000 0.1716 0.0000
Pt 0.5000 0.3324 0.5000
Pt 0.5000 0.5000 0.0000
Pt 0.5000 0.6676 0.5000
Pt 0.5000 0.8284 0.0000
Pb 0.0000 0.5000 0.5000
Pb 0.5000 0.0000 0.5000

Values from the calculation:
electronic total energy = -71.046 eV per atom
formation enthalpy at 0 K = 0.078 eV/atom
magnetization = 0.0 μB per cell

***

First-principles (meta-GGA SCAN) data for PtPb3 at its PBEsol-relaxed geometry, as listed in the Alexandria database.

Lattice parameters (Å, degrees): 7.1631 8.8004 6.4083 90.00 90.00 90.00
Fractional coordinates of all 16 atoms:
Pt 0.1155 0.2500 0.0380
Pt 0.3845 0.7500 0.5380
Pt 0.6155 0.2500 0.4620
Pt 0.8845 0.7500 0.9620
Pb 0.0076 0.7500 0.3840
Pb 0.1863 0.5578 0.8453
Pb 0.1863 0.9422 0.8453
Pb 0.3137 0.0578 0.3453
Pb 0.3137 0.4422 0.3453
Pb 0.4924 0.2500 0.8840
Pb 0.5076 0.7500 0.1160
Pb 0.6863 0.5578 0.6547
Pb 0.6863 0.9422 0.6547
Pb 0.8137 0.0578 0.1547
Pb 0.8137 0.4422 0.1547
Pb 0.9924 0.2500 0.6160

Values from the calculation:
electronic total energy = -74.484 eV per atom
formation enthalpy at 0 K = -0.100 eV/atom
magnetization = 0.0 μB per cell

***

First-principles (meta-GGA SCAN) data for PtPb3 at its PBEsol-relaxed geometry, as listed in the Alexandria database.

Lattice parameters (Å, degrees): 3.6925 9.4526 5.9748 90.00 90.00 90.00
Fractional coordinates of all 8 atoms:
Pt 0.0000 0.0000 0.0000
Pt 0.5000 0.5000 0.5000
Pb 0.0000 0.3065 0.6981
Pb 0.0000 0.5000 0.1503
Pb 0.0000 0.6935 0.6981
Pb 0.5000 0.0000 0.6503
Pb 0.5000 0.1935 0.1981
Pb 0.5000 0.8065 0.1981

Values from the calculation:
electronic total energy = -74.442 eV per atom
formation enthalpy at 0 K = -0.058 eV/atom
magnetization = 0.0 μB per cell

***

First-principles (meta-GGA SCAN) data for Pt3Pb at its PBEsol-relaxed geometry, as listed in the Alexandria database.

Lattice parameters (Å, degrees): 4.0633 4.0633 4.0633 90.00 90.00 90.00
Fractional coordinates of all 4 atoms:
Pt 0.0000 0.0000 0.5000
Pt 0.0000 0.5000 0.0000
Pt 0.5000 0.0000 0.0000
Pb 0.5000 0.5000 0.5000

Values from the calculation:
electronic total energy = -71.583 eV per atom
formation enthalpy at 0 K = 0.007 eV/atom
magnetization = 0.0 μB per cell

***

First-principles (meta-GGA SCAN) data for PtPb at its PBEsol-relaxed geometry, as listed in the Alexandria database.

Lattice parameters (Å, degrees): 7.5580 3.9278 5.6276 90.00 90.00 90.00
Fractional coordinates of all 8 atoms:
Pt 0.0617 0.2500 0.1498
Pt 0.4383 0.7500 0.6498
Pt 0.5617 0.2500 0.3502
Pt 0.9383 0.7500 0.8502
Pb 0.1707 0.2500 0.6306
Pb 0.3293 0.7500 0.1306
Pb 0.6707 0.2500 0.8694
Pb 0.8293 0.7500 0.3694

Values from the calculation:
electronic total energy = -73.131 eV per atom
formation enthalpy at 0 K = -0.144 eV/atom
magnetization = 0.0 μB per cell

***

First-principles (meta-GGA SCAN) data for Pt7Pb at its PBEsol-relaxed geometry, as listed in the Alexandria database.

Lattice parameters (Å, degrees): 5.6396 5.6396 5.6396 60.00 60.00 60.00
Fractional coordinates of all 8 atoms:
Pt 0.0000 0.0000 0.0000
Pt 0.0000 0.0000 0.5000
Pt 0.0000 0.5000 0.0000
Pt 0.0000 0.5000 0.5000
Pt 0.5000 0.0000 0.0000
Pt 0.5000 0.0000 0.5000
Pt 0.5000 0.5000 0.0000
Pb 0.5000 0.5000 0.5000

Values from the calculation:
electronic total energy = -70.844 eV per atom
formation enthalpy at 0 K = 0.048 eV/atom
magnetization = 0.0 μB per cell

***

First-principles (meta-GGA SCAN) data for PtPb3 at its PBEsol-relaxed geometry, as listed in the Alexandria database.

Lattice parameters (Å, degrees): 6.5096 17.3029 3.7232 90.00 90.00 90.00
Fractional coordinates of all 16 atoms:
Pt 0.0000 0.1556 0.2500
Pt 0.0000 0.8444 0.7500
Pt 0.5000 0.3444 0.7500
Pt 0.5000 0.6556 0.2500
Pb 0.0000 0.2775 0.7500
Pb 0.0000 0.7225 0.2500
Pb 0.2451 0.4199 0.2500
Pb 0.2451 0.5801 0.7500
Pb 0.2549 0.0801 0.7500
Pb 0.2549 0.9199 0.2500
Pb 0.5000 0.2225 0.2500
Pb 0.5000 0.7775 0.7500
Pb 0.7451 0.0801 0.7500
Pb 0.7451 0.9199 0.2500
Pb 0.7549 0.4199 0.2500
Pb 0.7549 0.5801 0.7500

Values from the calculation:
electronic total energy = -74.476 eV per atom
formation enthalpy at 0 K = -0.092 eV/atom
magnetization = 0.0 μB per cell

***

First-principles (meta-GGA SCAN) data for PtPb3 at its PBEsol-relaxed geometry, as listed in the Alexandria database.

Lattice parameters (Å, degrees): 3.4279 3.4279 8.4090 90.00 90.00 90.00
Fractional coordinates of all 4 atoms:
Pt 0.0000 0.0000 0.0000
Pb 0.0000 0.0000 0.5000
Pb 0.5000 0.5000 0.2002
Pb 0.5000 0.5000 0.7998

Values from the calculation:
electronic total energy = -74.407 eV per atom
formation enthalpy at 0 K = -0.023 eV/atom
magnetization = 0.0 μB per cell

***

First-principles (meta-GGA SCAN) data for Pt3Pb2 at its PBEsol-relaxed geometry, as listed in the Alexandria database.

Lattice parameters (Å, degrees): 4.4528 4.4528 6.0091 90.00 90.00 120.00
Fractional coordinates of all 5 atoms:
Pt 0.0000 0.0000 0.0000
Pt 0.3333 0.6667 0.1646
Pt 0.6667 0.3333 0.8354
Pb 0.3333 0.6667 0.6782
Pb 0.6667 0.3333 0.3218

Values from the calculation:
electronic total energy = -72.504 eV per atom
formation enthalpy at 0 K = -0.075 eV/atom
magnetization = 0.0 μB per cell

***

First-principles (meta-GGA SCAN) data for PtPb3 at its PBEsol-relaxed geometry, as listed in the Alexandria database.

Lattice parameters (Å, degrees): 3.6414 6.4365 8.8994 90.00 90.00 90.00
Fractional coordinates of all 8 atoms:
Pt 0.2500 0.2500 0.1812
Pt 0.7500 0.7500 0.8188
Pb 0.2500 0.0044 0.6600
Pb 0.2500 0.4956 0.6600
Pb 0.2500 0.7500 0.0570
Pb 0.7500 0.2500 0.9430
Pb 0.7500 0.5044 0.3400
Pb 0.7500 0.9956 0.3400

Values from the calculation:
electronic total energy = -74.474 eV per atom
formation enthalpy at 0 K = -0.090 eV/atom
magnetization = 0.0 μB per cell

***

First-principles (meta-GGA SCAN) data for RbPt2Pb2 at its PBEsol-relaxed geometry, as listed in the Alexandria database.

Lattice parameters (Å, degrees): 4.9161 4.9161 11.3596 90.00 90.00 90.00
Fractional coordinates of all 10 atoms:
Rb 0.0000 0.0000 0.0000
Rb 0.5000 0.5000 0.5000
Pt 0.0000 0.5000 0.2500
Pt 0.0000 0.5000 0.7500
Pt 0.5000 0.0000 0.2500
Pt 0.5000 0.0000 0.7500
Pb 0.0000 0.0000 0.3525
Pb 0.0000 0.0000 0.6475
Pb 0.5000 0.5000 0.1475
Pb 0.5000 0.5000 0.8525

Values from the calculation:
electronic total energy = -62.775 eV per atom
formation enthalpy at 0 K = -0.238 eV/atom
magnetization = 0.0 μB per cell

***

First-principles (meta-GGA SCAN) data for RePtPb2 at its PBEsol-relaxed geometry, as listed in the Alexandria database.

Lattice parameters (Å, degrees): 3.1866 3.1866 26.5191 90.00 90.00 120.00
Fractional coordinates of all 12 atoms:
Re 0.0000 0.0000 0.0000
Re 0.3333 0.6667 0.6667
Re 0.6667 0.3333 0.3333
Pt 0.0000 0.0000 0.5000
Pt 0.3333 0.6667 0.1667
Pt 0.6667 0.3333 0.8333
Pb 0.0000 0.0000 0.2509
Pb 0.0000 0.0000 0.7491
Pb 0.3333 0.6667 0.4158
Pb 0.3333 0.6667 0.9176
Pb 0.6667 0.3333 0.0824
Pb 0.6667 0.3333 0.5842

Values from the calculation:
electronic total energy = -72.369 eV per atom
formation enthalpy at 0 K = 0.844 eV/atom
magnetization = 2.4 μB per cell